(1)
An optimized crystal structure of AlInPd2. Source: Alexandria via LeMat-Bulk, functional PBE.

a b c (Å): 5.7760 5.7760 5.7760
angles (deg): 104.16 104.16 120.71
With the nearest neighbours (Å) after each atom.
Element x y z (fractional)
Al  0.0000  0.0000  0.0000  4 Pd 2.44
Al  0.7500  0.2500  0.5000  4 Pd 2.44
In  0.2500  0.7500  0.5000  4 Pd 2.80, 2 Al 2.86
In  0.5000  0.5000  0.0000  4 Pd 2.80, 2 Al 2.86
Pd  0.0873  0.6250  0.9623  2 Al 2.44
Pd  0.3750  0.3373  0.4623  2 Al 2.44
Pd  0.6627  0.1250  0.0377  2 Al 2.44
Pd  0.8750  0.9127  0.5377  2 Al 2.44

Summary:
Its formation enthalpy at 0 K is -0.37 eV per atom. For the uncorrected energy, the calculation gives -4.584 eV per atom. The space group is I-42d, No. 122. The calculation puts the spin magnetization at 0.0 μB per cell.

=====

(2)
An optimized crystal structure of KTiCrSb2. Source: Alexandria via LeMat-Bulk, functional PBE.

a b c (Å): 5.6496 5.6496 4.6966
angles (deg): 90.00 90.00 90.00
With the nearest neighbours (Å) after each atom.
Element x y z (fractional)
K  0.0000  0.0000  0.0000  2 Ti 2.35
Ti  0.0000  0.0000  0.5000  2 K 2.35
Cr  0.5000  0.5000  0.5000  8 Sb 3.67, 4 Ti 3.99
Sb  0.0000  0.5000  0.0000  2 K 2.82
Sb  0.5000  0.0000  0.0000  2 K 2.82

Summary:
For the uncorrected energy, the calculation gives -3.148 eV per atom. As for the formation energy from raw total energies: 11.12 eV per formula unit. The space group is P4/mmm, No. 123. The calculation puts the spin magnetization at 2.1 μB per cell.

=====

(3)
An optimized crystal structure of LiCd2Te. Source: Alexandria via LeMat-Bulk, functional PBE.

a b c (Å): 4.2220 4.2220 5.3065
angles (deg): 90.00 90.00 90.20
With the nearest neighbours (Å) after each atom.
Element x y z (fractional)
Li  0.0000  0.0000  0.0000  4 Te 2.98-2.99
Cd  0.0000  0.5000  0.5000  4 Cd 2.98-2.99
Cd  0.5000  0.0000  0.5000  4 Cd 2.98-2.99
Te  0.5000  0.5000  0.0000  4 Li 2.98-2.99

Summary:
For the uncorrected energy, the calculation gives -2.020 eV per atom. As for the formation energy from raw total energies: -1.19 eV per formula unit. The space group is Cmmm, No. 65. The calculation puts the spin magnetization at 0.0 μB per cell.